6
Lattice="5.4030 0.0000 0.0000 0.0000 5.4030 0.0000 -2.7015 -2.7015 5.3863" Properties=species:S:1:pos:R:3 comment="AcMgCd2Pd2 PBE-GGA optimized geometry" formation_enthalpy_0k_ev_per_fu=-1.69 dos_at_fermi_per_ev_cell=3.22 pbc="T T T"
Pd 0.0000 0.0000 2.4962
Pd 2.7015 2.7015 2.8901
Mg 0.0000 0.0000 0.0000
Cd 0.0000 2.7015 2.6931
Cd 2.7015 0.0000 2.6931
Ac 2.7015 2.7015 0.0000